No. 1
The following is a DFT calculation (PBE) of a geometry-optimized KMgAs2 structure.

```
4
Lattice="-0.454 4.134 -3.000 -3.926 0.370 -3.278 -3.748 3.393 0.860" Properties=species:S:1:pos:R:3 pbc="T T T"
Mg -6.096 5.923 -4.064
As -2.032 1.974 -1.355
As 0.000 0.000 0.000
K -4.064 3.949 -2.709
```

## Properties
As for the space group: F-43m (216). As for the calculated formation energy: 0.17 eV/atom. The density of states at the Fermi level comes out at 0.4730 states/eV per atom. For the volume, the calculation gives 95.4 Å³/cell.

No. 2
The following is a DFT calculation (PBE) of a geometry-optimized PrMgRh structure.

```
12
Lattice="6.261 0.000 0.000 0.000 6.261 0.000 0.000 0.000 8.421" Properties=species:S:1:pos:R:3 pbc="T T T"
Rh 0.088 6.172 2.105
Rh 3.042 3.042 0.000
Rh 3.219 3.219 4.211
Rh 6.172 0.088 6.316
Pr 1.882 4.378 6.316
Pr 1.248 1.248 4.211
Pr 4.378 1.882 2.105
Pr 5.013 5.013 0.000
Mg 4.326 1.935 6.316
Mg 1.196 1.196 0.000
Mg 5.065 5.065 4.211
Mg 1.935 4.326 2.105
```

## Properties
As for the space group: P4_12_12 (92). As for the calculated formation energy: -0.28 eV/atom. The density of states at the Fermi level comes out at 0.2707 states/eV per atom. For the volume, the calculation gives 330.1 Å³/cell.

No. 3
The following is a DFT calculation (PBE) of a geometry-optimized DyTiOsRh structure.

```
4
Lattice="-2.667 2.821 -2.482 -1.104 -1.097 -4.337 -4.317 -1.232 -1.037" Properties=species:S:1:pos:R:3 pbc="T T T"
Dy -6.066 0.369 -5.893
Os -4.044 0.246 -3.928
Rh 0.000 0.000 0.000
Ti -2.022 0.123 -1.964
```

## Properties
As for the space group: F-43m (216). As for the calculated formation energy: -0.49 eV/atom. The density of states at the Fermi level comes out at 0.4296 states/eV per atom. For the volume, the calculation gives 69.2 Å³/cell.

No. 4
The following is a DFT calculation (PBE) of a geometry-optimized K2CdRe structure.

```
4
Lattice="-2.557 1.008 1.102 -1.311 -1.376 -2.271 -1.074 -10.075 6.724" Properties=species:S:1:pos:R:3 pbc="T T T"
Re -0.571 -5.355 3.574
K -1.025 -9.616 6.418
K -2.262 -3.263 1.471
Cd -2.695 -7.321 4.179
```

## Properties
As for the space group: Cmm2 (35). As for the calculated formation energy: 1.05 eV/atom. The density of states at the Fermi level comes out at 1.0187 states/eV per atom. For the volume, the calculation gives 106.4 Å³/cell.